! PBE LaReTeP2, optimized geometry; values from VASP
&SYSTEM
  ibrav = 0, nat = 5, ntyp = 4
/
ATOMIC_SPECIES
P 30.97 P.upf
Te 127.60 Te.upf
La 138.91 La.upf
Re 186.21 Re.upf
ATOMIC_POSITIONS crystal
P 0.000 0.000 0.500
P 0.500 0.000 0.000
Te 0.000 0.500 0.000
La 0.500 0.500 0.500
Re 0.000 0.000 0.000
CELL_PARAMETERS angstrom
4.598 0.000 0.000
0.000 5.753 0.000
0.000 0.000 4.598
! - space-group type = P4/mmm (123)
! - volume (Å³/cell) = 122
! - energy relative to the elements, uncorrected (eV/atom) = -0.325
! - final energy (eV/atom) = -6.592
! - Fermi-level density of states (states/eV/f.u.) = 2.305
! - total magnetization (μB/f.u.) = 0.00